[1]
A relaxed structure of K4Pu3CuO12, computed with PBE.

The structure in CIF format:
```
data_K4Pu3CuO12
_cell_length_a 8.482
_cell_length_b 8.482
_cell_length_c 8.482
_cell_angle_alpha 90.00
_cell_angle_beta 90.00
_cell_angle_gamma 90.00
_space_group_name_H-M_alt 'I m -3 m'
_space_group_IT_number 229
_space_group_name_Hall '-I 4 2 3'
loop_
_atom_site_label
_atom_site_type_symbol
_atom_site_fract_x
_atom_site_fract_y
_atom_site_fract_z
K1 K 0.250 0.250 0.250
Pu1 Pu 0.000 0.000 0.500
Cu1 Cu 0.000 0.000 0.000
O1 O 0.000 0.000 0.272
O2 O 0.000 0.250 0.500
```

Properties
raw total energy	-7.7458	eV/atom
calculated volume	15.26	Å³/atom
size of the total moment	4.91	μB per formula unit
crystal system	cubic
formation energy (no corrections)	-2197	meV/atom

[2]
A relaxed structure of K3Pu2CuO9, computed with PBE.

The structure in CIF format:
```
data_K3Pu2CuO9
_cell_length_a 5.8954
_cell_length_b 5.8954
_cell_length_c 7.2505
_cell_angle_alpha 90.00
_cell_angle_beta 90.00
_cell_angle_gamma 120.00
_space_group_name_H-M_alt 'P -3 m 1'
_space_group_IT_number 164
_space_group_name_Hall '-P 3 2"'
loop_
_atom_site_label
_atom_site_type_symbol
_atom_site_fract_x
_atom_site_fract_y
_atom_site_fract_z
K1 K 0.0000 0.0000 0.0000
K2 K 0.3333 0.6667 0.6567
Pu1 Pu 0.3333 0.6667 0.1747
Cu1 Cu 0.0000 0.0000 0.5000
O1 O 0.0000 0.5000 0.0000
O2 O 0.1729 0.3458 0.3262
```

Properties
raw total energy	-7.3971	eV/atom
calculated volume	14.55	Å³/atom
size of the total moment	1.90	μB per formula unit
crystal system	trigonal
formation energy (no corrections)	-2019	meV/atom

[3]
A relaxed structure of K3PuCu2O6, computed with PBE.

The structure in CIF format:
```
data_K3PuCu2O6
_cell_length_a 6.0812
_cell_length_b 6.0812
_cell_length_c 6.9307
_cell_angle_alpha 90.00
_cell_angle_beta 90.00
_cell_angle_gamma 120.00
_space_group_name_H-M_alt 'P -3 m 1'
_space_group_IT_number 164
_space_group_name_Hall '-P 3 2"'
loop_
_atom_site_label
_atom_site_type_symbol
_atom_site_fract_x
_atom_site_fract_y
_atom_site_fract_z
K1 K 0.0000 0.0000 0.0000
K2 K 0.3333 0.6667 0.7241
Pu1 Pu 0.0000 0.0000 0.5000
Cu1 Cu 0.3333 0.6667 0.2949
O1 O 0.1558 0.3116 0.3163
```

Properties
raw total energy	-6.2516	eV/atom
calculated volume	18.50	Å³/atom
size of the total moment	0.97	μB per formula unit
crystal system	trigonal
formation energy (no corrections)	-1621	meV/atom

[4]
A relaxed structure of K2Pu3CuO12, computed with PBE.

The structure in CIF format:
```
data_K2Pu3CuO12
_cell_length_a 7.8448
_cell_length_b 7.8448
_cell_length_c 17.3864
_cell_angle_alpha 90.00
_cell_angle_beta 90.00
_cell_angle_gamma 120.00
_space_group_name_H-M_alt 'R -3 m'
_space_group_IT_number 166
_space_group_name_Hall '-R 3 2"'
loop_
_atom_site_label
_atom_site_type_symbol
_atom_site_fract_x
_atom_site_fract_y
_atom_site_fract_z
K1 K 0.0000 0.0000 0.1265
Pu1 Pu 0.0000 0.5000 0.0000
Cu1 Cu 0.0000 0.0000 0.5000
O1 O 0.0731 0.5365 0.3582
O2 O 0.0747 0.5374 0.1039
```

Properties
raw total energy	-8.1431	eV/atom
calculated volume	17.16	Å³/atom
size of the total moment	2.98	μB per formula unit
crystal system	trigonal
formation energy (no corrections)	-2099	meV/atom